1.
VASP calculation (GGA-PBE) on a geometry-optimized CaNd3Os structure.

Cell: 7.685 7.685 8.085 Å, 118.29 118.29 60.07°
Sites, in units of the cell vectors:
Ca  0.089  0.089  0.267
Ca  0.911  0.911  0.733
Nd  0.086  0.590  0.265
Nd  0.410  0.914  0.735
Nd  0.411  0.411  0.735
Nd  0.589  0.589  0.265
Nd  0.590  0.086  0.265
Nd  0.914  0.410  0.735
Os  0.332  0.332  0.996
Os  0.668  0.668  0.004

Values from the calculation:
* energy relative to the lowest polymorph listed for this composition: 0.37 eV per formula unit
* VASP energy: -27.14 eV per formula unit
* space-group type: C2/m (12)
* DOS(E_F): 8.2 states/eV/cell

2.
VASP calculation (GGA-PBE) on a geometry-optimized CaNd3Os structure.

Cell: 5.651 5.651 5.651 Å, 90.00 90.00 90.00°
Sites, in units of the cell vectors:
Ca  0.000  0.000  0.000
Nd  0.000  0.500  0.500
Nd  0.500  0.000  0.500
Nd  0.500  0.500  0.000
Os  0.500  0.500  0.500

Values from the calculation:
* energy relative to the lowest polymorph listed for this composition: 0.05 eV per formula unit
* VASP energy: -27.45 eV per formula unit
* space-group type: Pm-3m (221)
* DOS(E_F): 3.0 states/eV/cell

3.
VASP calculation (GGA-PBE) on a geometry-optimized CaPmNdOs structure.

Cell: 5.243 5.243 5.243 Å, 60.00 60.00 60.00°
Sites, in units of the cell vectors:
Ca  0.000  0.000  0.000
Pm  0.250  0.250  0.250
Nd  0.750  0.750  0.750
Os  0.500  0.500  0.500

Values from the calculation:
* VASP energy: -22.00 eV per formula unit
* space-group type: F-43m (216)
* DOS(E_F): 3.3 states/eV/cell